[1]
The following is a PBE-GGA calculation of a geometry-optimized Li2YIn structure, from Alexandria.

Cell lengths 9.9626, 3.7257, 5.2406 Å; angles 90.00, 107.62, 90.00 degrees
Space group C2/m (No. 12)
One atom of each set of equivalent atoms:
Li1 0.2328 0.0000 0.1988 [4 per cell]
Y1 0.0000 0.0000 0.5000 [2 per cell]
In1 0.0000 0.5000 0.0000 [2 per cell]

Calculated values
The value obtained for the calculated total energy is -13.8 eV/f.u. As for the energy of formation from the pure elements: -185 meV/atom.

---

[2]
The following is a PBE-GGA calculation of a geometry-optimized Li2YIn structure, from Alexandria.

Cell lengths 3.6778, 3.6778, 6.6866 Å; angles 90.00, 90.00, 90.00 degrees
Space group P4/mmm (No. 123)
One atom of each set of equivalent atoms:
Li1 0.0000 0.0000 0.2102 [2 per cell]
Y1 0.5000 0.5000 0.5000 [1 per cell]
In1 0.5000 0.5000 0.0000 [1 per cell]

Calculated values
The value obtained for the calculated total energy is -13.5 eV/f.u. As for the energy of formation from the pure elements: -113 meV/atom.

---

Number 1: DOS(E_F) 2.5 states/eV per cell. Number 2: DOS(E_F) 2.1 states/eV per cell.